Entry from Alexandria: a crystal of GaWSe2S relaxed with PBEsol (meta-GGA SCAN).

Output
magnetic moment = 1.31 μB per formula unit
formation energy from raw total energies = 2.65 eV/f.u.
theoretical density = 6.39 g/cm³

```
data_GaWSe2S
_cell_length_a 4.728
_cell_length_b 4.728
_cell_length_c 5.156
_cell_angle_alpha 90.00
_cell_angle_beta 90.00
_cell_angle_gamma 90.00
_symmetry_space_group_name_H-M 'P 4/m m m'
_symmetry_Int_Tables_number 123
_symmetry_space_group_name_Hall '-P 4 2'
loop_
_atom_site_label
_atom_site_type_symbol
_atom_site_fract_x
_atom_site_fract_y
_atom_site_fract_z
_atom_site_occupancy
Ga1 Ga 0.000 0.000 0.000 1
W1 W 0.000 0.000 0.500 1
Se1 Se 0.000 0.500 0.500 1
S1 S 0.500 0.500 0.000 1
```